Crystalline Al2RuCl at its relaxed geometry, computed with PBE-GGA.

## Properties
uncorrected formation energy = -124 meV per atom
crystal system = monoclinic
space group = C2/m, No. 12

The structure in POSCAR format:
```
Al2RuCl
1.0
-1.264 -3.317 3.100
4.060 -2.264 -0.774
1.233 1.482 2.098
Ru Al Cl
1 2 1
direct
0.000 0.500 0.500
0.000 0.000 0.000
0.500 0.500 0.000
0.500 0.000 0.500
```

Crystalline LaGdFe4 at its relaxed geometry, computed with PBE-GGA.

## Properties
E_form = 0.0150 eV/atom
crystal system = cubic
space group = F-43m, No. 216

The structure in POSCAR format:
```
LaGdFe4
1.0
-4.897 -1.355 -1.242
-0.895 -4.396 -2.691
-2.257 -4.092 2.350
Fe La Gd
4 1 1
direct
0.625 0.125 0.625
0.625 0.625 0.125
0.625 0.625 0.625
0.125 0.625 0.625
0.250 0.250 0.250
0.000 0.000 0.000
```

Crystalline Mg3VZn at its relaxed geometry, computed with PBE-GGA.

## Properties
E_form = 0.6511 eV/atom
crystal system = cubic
space group = Pm-3m, No. 221

The structure in POSCAR format:
```
Mg3VZn
1.0
-1.153 4.720 -0.726
-4.599 -0.896 1.478
1.288 1.026 4.629
Zn Mg V
1 3 1
direct
0.000 0.000 0.000
0.000 0.000 0.500
0.500 0.000 0.000
0.000 0.500 0.000
0.500 0.500 0.500
```